(1)
The following is a GGA-PBE calculation of crystalline TlIn9Ag2 at its relaxed geometry, from Alexandria.

Lattice parameters (Å, degrees): 12.453 12.453 8.222 90.00 90.00 90.00
Space group I4_1/amd (No. 141, origin choice 2)
One atom of each set of equivalent atoms:
Tl  0.000  0.250  0.375 [4 per cell]
In  0.000  0.250  0.875 [4 per cell]
In  0.122  0.058  0.669 [32 per cell]
Ag  0.000  0.000  0.000 [8 per cell]

calculated volume: 1274.9 Å³ per cell
total magnetization: 0.00 μB per formula unit
energy of formation: 0.4 eV per formula unit



(2)
The following is a GGA-PBE calculation of crystalline TcIrBr2 at its relaxed geometry, from Alexandria.

Lattice parameters (Å, degrees): 3.082 3.475 17.742 90.00 90.00 90.00
Space group Imm2 (No. 44)
One atom of each set of equivalent atoms:
Tc  0.000  0.000  0.000 [2 per cell]
Ir  0.000  0.500  0.089 [2 per cell]
Br  0.000  0.000  0.408 [2 per cell]
Br  0.000  0.500  0.693 [2 per cell]

calculated volume: 190.0 Å³ per cell
total magnetization: 0.26 μB per formula unit
formation energy without anion corrections: 572 meV per atom
offset from the most stable computed form: 0.406 eV/atom



Summary of Fermi-level density of states in states/eV/f.u.
5.06; 4.09
(order as listed above)